Entry 1:
## CsAc2C2N6 (PBE)

Data for an optimized crystal structure of CsAc2C2N6.

## Properties
The calculation puts the raw formation energy at -331 meV/atom. Its space group is C2/m. The raw total energy is -7.37 eV per atom.

a b c (Å): 6.693 6.299 6.638
angles (deg): 107.34 90.02 57.88
Each line ends with the local moment (μB).
Fractional positions:
Cs 0.500 0.000 0.500  0.00
Ac 0.831 0.339 0.794  0.01
Ac 0.169 0.661 0.206  0.01
C 0.167 0.666 0.747  -0.01
C 0.833 0.334 0.253  -0.01
N 0.380 0.577 0.810  0.16
N 0.958 0.423 0.190  0.16
N 0.083 0.833 0.636  0.02
N 0.042 0.577 0.810  0.16
N 0.917 0.167 0.364  0.02
N 0.620 0.423 0.190  0.16

---

Entry 2:
## CsAc3C4O12 (PBE)

Data for an optimized crystal structure of CsAc3C4O12.

## Properties
The calculation puts the raw formation energy at -2040 meV/atom. Its space group is R32. The raw total energy is -7.52 eV per atom.

a b c (Å): 7.089 7.089 7.089
angles (deg): 96.46 96.46 96.46
Fractional positions:
Cs 0.000 0.000 0.000
Ac 0.524 0.476 0.000
Ac 0.476 0.000 0.524
Ac 0.000 0.524 0.476
C 0.990 0.010 0.500
C 0.010 0.500 0.990
C 0.500 0.990 0.010
C 0.500 0.500 0.500
O 0.500 0.376 0.624
O 0.885 0.500 0.115
O 0.115 0.885 0.500
O 0.500 0.115 0.885
O 0.469 0.046 0.184
O 0.184 0.469 0.046
O 0.046 0.184 0.469
O 0.531 0.816 0.954
O 0.954 0.531 0.816
O 0.816 0.954 0.531
O 0.624 0.500 0.376
O 0.376 0.624 0.500

---

Entry 3:
## Cs2AcC2O6 (PBE)

Data for an optimized crystal structure of Cs2AcC2O6.

## Properties
The calculation puts the raw formation energy at -1912 meV/atom. Its space group is P-3m1. The raw total energy is -6.82 eV per atom.

a b c (Å): 5.859 5.859 9.372
angles (deg): 90.00 90.00 120.00
Fractional positions:
Cs 0.667 0.333 0.693
Cs 0.333 0.667 0.307
Ac 0.000 0.000 0.000
C 0.333 0.667 0.857
C 0.667 0.333 0.143
O 0.205 0.411 0.856
O 0.589 0.795 0.856
O 0.205 0.795 0.856
O 0.795 0.589 0.144
O 0.411 0.205 0.144
O 0.795 0.205 0.144

---

The lowest raw formation energy belongs to which entry? CsAc3C4O12

---

raw total energy of number 1 (CsAc2C2N6)? -7.37 eV per atom

---

Repeat the first record exactly.
## CsAc2C2N6 (PBE)

Data for an optimized crystal structure of CsAc2C2N6.

## Properties
The calculation puts the raw formation energy at -331 meV/atom. Its space group is C2/m. The raw total energy is -7.37 eV per atom.

a b c (Å): 6.693 6.299 6.638
angles (deg): 107.34 90.02 57.88
Each line ends with the local moment (μB).
Fractional positions:
Cs 0.500 0.000 0.500  0.00
Ac 0.831 0.339 0.794  0.01
Ac 0.169 0.661 0.206  0.01
C 0.167 0.666 0.747  -0.01
C 0.833 0.334 0.253  -0.01
N 0.380 0.577 0.810  0.16
N 0.958 0.423 0.190  0.16
N 0.083 0.833 0.636  0.02
N 0.042 0.577 0.810  0.16
N 0.917 0.167 0.364  0.02
N 0.620 0.423 0.190  0.16

---

Which value of raw formation energy does entry 1 give? -331 meV/atom